Entry 1:
DyCdRh: optimized geometry, PBE.

Cell lengths 3.349, 4.694, 4.694 Å; angles 120.00, 90.00, 90.00 degrees
Fractional positions:
1 Cd 0.164 0.000 0.000
2 Rh 0.171 0.333 0.667
3 Dy 0.665 0.667 0.333

## Properties
DFT formation energy: -0.415 eV per atom
Total magnetic moment: 0.0 μB/cell
Space group: No. 156

=====

Entry 2:
Cs3Rb3HgI8: optimized geometry, PBE.

Cell lengths 10.567, 10.564, 10.784 Å; angles 119.32, 90.00, 120.01 degrees
Fractional positions:
1 Cs 0.000 0.000 0.000
2 Cs 0.000 0.500 0.000
3 Cs 0.500 0.500 0.000
4 Rb 0.500 0.000 0.500
5 Rb 0.500 0.500 0.500
6 Rb 0.000 0.500 0.500
7 Hg 0.000 0.000 0.500
8 I 0.255 0.509 0.264
9 I 0.745 0.491 0.736
10 I 0.792 0.585 0.300
11 I 0.208 0.415 0.700
12 I 0.793 0.007 0.300
13 I 0.207 0.993 0.700
14 I 0.215 0.007 0.300
15 I 0.785 0.993 0.700

## Properties
Formation energy (no corrections): -1.2501 eV per atom
Total magnetic moment: 0.0 μB/cell
Space group: No. 166

=====

Entry 3:
Tb4Pm5Mg2: optimized geometry, PBE.

Cell lengths 3.489, 8.737, 11.487 Å; angles 93.97, 90.00, 90.00 degrees
Fractional positions:
1 Tb 0.500 0.718 0.549
2 Tb 0.500 0.149 0.886
3 Tb 0.500 0.282 0.451
4 Tb 0.500 0.851 0.114
5 Pm 0.000 0.569 0.297
6 Pm 0.000 0.204 0.166
7 Pm 0.000 0.500 0.000
8 Pm 0.000 0.796 0.834
9 Pm 0.000 0.431 0.703
10 Mg 0.000 0.054 0.632
11 Mg 0.000 0.946 0.368

## Properties
DFT formation energy: 0.076 eV per atom
Total magnetic moment: 0.0 μB/cell
Space group: No. 10
E above lowest polymorph: 23 meV/atom

=====

Entry 4:
ErTiRh2: optimized geometry, PBE.

Cell lengths 3.173, 4.661, 4.661 Å; angles 90.00, 90.00, 90.00 degrees
Fractional positions:
1 Ti 0.500 0.000 0.000
2 Rh 0.000 0.000 0.500
3 Rh 0.000 0.500 0.000
4 Er 0.500 0.500 0.500

## Properties
DFT formation energy: -0.727 eV per atom
Total magnetic moment: 0.0 μB/cell
Space group: No. 123
E above lowest polymorph: 78 meV/atom

=====

Entry 5:
ErThSi2: optimized geometry, PBE.

Cell lengths 3.926, 5.807, 7.988 Å; angles 90.00, 90.00, 90.00 degrees
Fractional positions:
1 Er 0.500 0.369 0.320
2 Er 0.500 0.631 0.820
3 Th 0.000 0.131 0.678
4 Th 0.000 0.869 0.178
5 Si 0.000 0.619 0.539
6 Si 0.000 0.381 0.039
7 Si 0.500 0.871 0.463
8 Si 0.500 0.129 0.963

## Properties
Formation energy (no corrections): -0.7328 eV per atom
Total magnetic moment: 0.0 μB/cell
Space group: No. 26
E above lowest polymorph: 0 meV/atom

=====

Entry 6:
Hf5TiIn2: optimized geometry, PBE.

Cell lengths 4.392, 6.197, 12.391 Å; angles 90.00, 90.00, 90.00 degrees
Fractional positions:
1 Hf 0.000 0.000 0.000
2 Hf 0.000 0.500 0.500
3 Hf 0.000 0.499 0.752
4 Hf 0.000 0.501 0.248
5 Hf 0.000 0.001 0.252
6 Hf 0.000 0.999 0.748
7 Hf 0.500 0.251 0.876
8 Hf 0.500 0.749 0.124
9 Hf 0.500 0.249 0.376
10 Hf 0.500 0.751 0.624
11 Ti 0.000 0.000 0.500
12 Ti 0.000 0.500 0.000
13 In 0.500 0.247 0.623
14 In 0.500 0.753 0.377
15 In 0.500 0.253 0.123
16 In 0.500 0.747 0.877

## Properties
DFT formation energy: -0.129 eV per atom
Total magnetic moment: 0.0 μB/cell
Space group: No. 55
E above lowest polymorph: 0 meV/atom

=====

Entry 7:
PaAlNiRu: optimized geometry, PBE.

Cell lengths 4.580, 4.580, 4.580 Å; angles 60.00, 60.00, 60.00 degrees
Fractional positions:
1 Ru 0.750 0.750 0.750
2 Pa 0.500 0.500 0.500
3 Al 0.000 0.000 0.000
4 Ni 0.250 0.250 0.250

## Properties
DFT formation energy: -0.415 eV per atom
Total magnetic moment: 0.0 μB/cell
Space group: No. 216

=====

Entry 8:
La4PmHo2Mg: optimized geometry, PBE.

Cell lengths 5.870, 5.875, 9.820 Å; angles 53.25, 90.00, 90.00 degrees
Fractional positions:
1 La 0.000 0.734 0.766
2 La 0.000 0.266 0.234
3 La 0.500 0.764 0.236
4 La 0.500 0.236 0.764
5 Pm 0.000 0.500 0.500
6 Ho 0.000 0.000 0.000
7 Ho 0.500 0.000 0.500
8 Mg 0.500 0.500 0.000

## Properties
DFT formation energy: 0.040 eV per atom
Total magnetic moment: 0.0 μB/cell
Space group: No. 47

=====

Entry 9:
B3TeW: optimized geometry, PBE.

Cell lengths 4.265, 4.265, 4.265 Å; angles 90.00, 90.00, 90.00 degrees
Fractional positions:
1 B 0.000 0.500 0.000
2 B 0.000 0.000 0.500
3 B 0.500 0.000 0.000
4 Te 0.000 0.000 0.000
5 W 0.500 0.500 0.500

## Properties
Formation energy (no corrections): 2.8533 eV per atom
Total magnetic moment: 0.0 μB/cell
Space group: No. 221
E above lowest polymorph: 1291 meV/atom

=====

Entry 10:
LiTbV: optimized geometry, PBE.

Cell lengths 5.190, 5.113, 27.539 Å; angles 134.97, 160.31, 59.59 degrees
Fractional positions:
1 V 0.458 0.470 0.388
2 V 0.542 0.530 0.612
3 Li 0.748 0.980 0.298
4 Li 0.252 0.020 0.702
5 Tb 0.138 0.562 0.834
6 Tb 0.862 0.438 0.166

## Properties
DFT formation energy: 0.381 eV per atom
Total magnetic moment: 0.0 μB/cell
Space group: No. 2

=====

Entry 11:
KCdInBi: optimized geometry, PBE.

Cell lengths 5.633, 5.633, 5.633 Å; angles 60.00, 60.00, 60.00 degrees
Fractional positions:
1 K 0.000 0.000 0.000
2 Cd 0.250 0.250 0.250
3 Bi 0.500 0.500 0.500
4 In 0.750 0.750 0.750

## Properties
DFT formation energy: -0.081 eV per atom
Total magnetic moment: 0.0 μB/cell
Space group: No. 216
E above lowest polymorph: 4 meV/atom

=====

Entry 12:
Ce4PuTh3Se8: optimized geometry, PBE.

Cell lengths 8.371, 8.398, 8.371 Å; angles 119.89, 120.00, 90.00 degrees
Fractional positions:
1 Ce 0.500 0.000 0.000
2 Ce 0.500 0.000 0.500
3 Ce 0.000 0.000 0.000
4 Ce 0.000 0.000 0.500
5 Pu 0.000 0.500 0.000
6 Th 0.500 0.500 0.000
7 Th 0.500 0.500 0.500
8 Th 0.000 0.500 0.500
9 Se 0.248 0.750 0.002
10 Se 0.248 0.749 0.495
11 Se 0.249 0.247 0.498
12 Se 0.754 0.750 0.002
13 Se 0.246 0.250 0.998
14 Se 0.751 0.753 0.502
15 Se 0.752 0.251 0.505
16 Se 0.752 0.250 0.998

## Properties
Formation energy (no corrections): -1.6862 eV per atom
Total magnetic moment: 8.9 μB/cell
Space group: No. 166